Below is a relaxed Ge2Te2PtS2 crystal, with properties calculated at the PBE level.

Cell lengths 6.0695, 6.0695, 9.3768 Å; angles 114.68, 114.68, 36.03 degrees
Atoms (fractional coordinates):
Ge: 0.2386 0.2386 0.1845
Ge: 0.7614 0.7614 0.8155
Te: 0.4745 0.4745 0.1872
Te: 0.5255 0.5255 0.8128
Pt: 0.0000 0.0000 0.0000
S: 0.1983 0.1983 0.6459
S: 0.8017 0.8017 0.3541

Computed properties:
Energy, eV per atom: -4.520
Symmetry: No. 12
Density of states at the Fermi level, states/eV/cell: 0.00